1.
Compound: KSmGeSe3
Source: the Open Quantum Materials Database
Functional: PBE
Structure: relaxed

Space group: Cmcm
Total DFT energy (no corrections): -55.1 eV per cell

a = 7.6331 Å, b = 7.6331 Å, c = 11.4414 Å
α = 90.00°, β = 90.00°, γ = 145.58°
Fractional coordinates of all 12 atoms:
1 Se 0.6281 0.3719 0.5524
2 Se 0.9333 0.0667 0.7500
3 Se 0.3719 0.6281 0.0524
4 Se 0.6281 0.3719 0.9476
5 Se 0.0667 0.9333 0.2500
6 Se 0.3719 0.6281 0.4476
7 Sm 0.0000 0.0000 0.5000
8 Sm 0.0000 0.0000 0.0000
9 Ge 0.5324 0.4676 0.7500
10 Ge 0.4676 0.5324 0.2500
11 K 0.2533 0.7467 0.7500
12 K 0.7467 0.2533 0.2500

=====

2.
Compound: FeH4C6N4
Source: the Open Quantum Materials Database
Functional: PBE
Structure: relaxed

Space group: P4_2/mmc
Total DFT energy (no corrections): -217.8 eV per cell

a = 9.0777 Å, b = 9.0777 Å, c = 6.9533 Å
α = 90.00°, β = 90.00°, γ = 90.00°
Fractional coordinates of all 30 atoms:
1 H 0.5000 0.8516 0.8111
2 H 0.1484 0.5000 0.3111
3 H 0.5000 0.8516 0.1889
4 H 0.8516 0.5000 0.3111
5 H 0.5000 0.1484 0.1889
6 H 0.5000 0.1484 0.8111
7 H 0.8516 0.5000 0.6889
8 H 0.1484 0.5000 0.6889
9 C 0.5000 0.8257 0.6586
10 C 0.5000 0.8257 0.3414
11 C 0.8257 0.5000 0.8414
12 C 0.5000 0.0792 0.5000
13 C 0.1743 0.5000 0.1586
14 C 0.5000 0.9208 0.5000
15 C 0.8257 0.5000 0.1586
16 C 0.9208 0.5000 0.0000
17 C 0.1743 0.5000 0.8414
18 C 0.5000 0.1743 0.6586
19 C 0.5000 0.1743 0.3414
20 C 0.0792 0.5000 0.0000
21 N 0.3154 0.5000 0.9018
22 N 0.5000 0.3154 0.5982
23 N 0.3154 0.5000 0.0982
24 N 0.5000 0.6846 0.5982
25 N 0.5000 0.6846 0.4018
26 N 0.6846 0.5000 0.9018
27 N 0.6846 0.5000 0.0982
28 N 0.5000 0.3154 0.4018
29 Fe 0.5000 0.5000 0.7500
30 Fe 0.5000 0.5000 0.2500

=====

3.
Compound: Li4Cu7
Source: the Open Quantum Materials Database
Functional: PBE
Structure: relaxed

Space group: P1
Total DFT energy (no corrections): -34.1 eV per cell

a = 4.4276 Å, b = 5.8569 Å, c = 5.8791 Å
α = 107.94°, β = 99.23°, γ = 105.38°
Fractional coordinates of all 11 atoms:
1 Cu 0.3357 0.6334 0.5009
2 Cu 0.0514 0.5413 0.0501
3 Cu 0.4242 0.9732 0.3215
4 Cu 0.7169 0.0864 0.7671
5 Cu 0.1664 0.8877 0.8636
6 Cu 0.8772 0.7918 0.4212
7 Cu 0.7892 0.4419 0.5978
8 Li 0.5144 0.3425 0.1459
9 Li 0.6150 0.7257 0.9547
10 Li 0.9733 0.1675 0.2292
11 Li 0.2446 0.2539 0.6799

=====

4.
Compound: TaGaMoC
Source: the Open Quantum Materials Database
Functional: PBE
Structure: relaxed

Offset from the most stable computed form: 0.000 eV/atom
Space group: P-3m1

a = 3.1118 Å, b = 3.1118 Å, c = 13.3223 Å
α = 90.00°, β = 90.00°, γ = 120.00°
Fractional coordinates of all 8 atoms:
1 Ta 0.3333 0.6667 0.9073
2 Ta 0.6667 0.3333 0.0927
3 Mo 0.6667 0.3333 0.4138
4 Mo 0.3333 0.6667 0.5862
5 Ga 0.6667 0.3333 0.7424
6 Ga 0.3333 0.6667 0.2576
7 C 0.0000 0.0000 0.5000
8 C 0.0000 0.0000 0.0000

=====

5.
Compound: PrAgNO
Source: the Open Quantum Materials Database
Functional: PBE
Structure: relaxed

Offset from the most stable computed form: 0.176 eV/atom
Space group: P4/nmm

a = 5.1101 Å, b = 5.1101 Å, c = 4.6739 Å
α = 90.00°, β = 90.00°, γ = 90.00°
Fractional coordinates of all 8 atoms:
1 O 0.5000 0.5000 0.0000
2 O 0.0000 0.0000 0.0000
3 Ag 0.0000 0.5000 0.0019
4 Ag 0.5000 0.0000 0.9981
5 N 0.0000 0.5000 0.5029
6 N 0.5000 0.0000 0.4971
7 Pr 0.5000 0.5000 0.5000
8 Pr 0.0000 0.0000 0.5000

=====

6.
Compound: Pr2Co
Source: the Open Quantum Materials Database
Functional: PBE
Structure: relaxed

Energy of formation: 0.0785 eV/atom
Space group: Fm-3m

a = 4.8511 Å, b = 4.8511 Å, c = 4.8511 Å
α = 60.00°, β = 60.00°, γ = 60.00°
Fractional coordinates of all 3 atoms:
1 Co 0.0000 0.0000 0.0000
2 Pr 0.7500 0.7500 0.7500
3 Pr 0.2500 0.2500 0.2500

=====

7.
Compound: Dy2Y2BIBr4
Source: the Open Quantum Materials Database
Functional: PBE
Structure: relaxed

Space group: C2/m
Total DFT energy (no corrections): -50.6 eV per cell

a = 9.1641 Å, b = 9.1641 Å, c = 8.5559 Å
α = 103.03°, β = 103.03°, γ = 24.97°
Fractional coordinates of all 10 atoms:
1 Y 0.6432 0.6432 0.0733
2 Y 0.3568 0.3568 0.9267
3 I 0.5000 0.5000 0.5000
4 Br 0.1670 0.1670 0.3242
5 Br 0.8330 0.8330 0.6758
6 Br 0.1720 0.1720 0.8416
7 Br 0.8280 0.8280 0.1584
8 Dy 0.0000 0.0000 0.8028
9 Dy 0.9999 0.9999 0.1972
10 B 0.5000 0.5000 0.0000

=====

8.
Compound: Li2Zn2SbAs
Source: the Open Quantum Materials Database
Functional: PBE
Structure: relaxed

Space group: Pm
Total DFT energy (no corrections): -70.0 eV per cell

a = 10.5453 Å, b = 4.3219 Å, c = 10.5538 Å
α = 90.00°, β = 109.59°, γ = 90.00°
Fractional coordinates of all 24 atoms:
1 Sb 0.1244 0.5000 0.6202
2 Sb 0.3767 0.5000 0.3797
3 Sb 0.2458 0.0000 0.9968
4 Sb 0.6303 0.5000 0.1289
5 As 0.5070 0.0000 0.7530
6 As 0.9971 0.0000 0.2436
7 As 0.8700 0.5000 0.8731
8 As 0.7533 0.0000 0.5065
9 Zn 0.2614 0.0000 0.7455
10 Zn 0.7627 0.0000 0.2620
11 Zn 0.1130 0.5000 0.3602
12 Zn 0.8698 0.5000 0.6311
13 Zn 0.3753 0.5000 0.1268
14 Zn 0.6285 0.5000 0.8695
15 Zn 0.9842 0.0000 0.9945
16 Zn 0.5097 0.0000 0.5121
17 Li 0.2460 0.0000 0.4884
18 Li 0.9995 0.0000 0.7478
19 Li 0.3816 0.5000 0.8750
20 Li 0.5085 0.0000 0.2593
21 Li 0.7404 0.0000 0.0007
22 Li 0.8732 0.5000 0.3854
23 Li 0.1153 0.5000 0.1132
24 Li 0.6262 0.5000 0.6268

=====

9.
Compound: NdI2
Source: the Open Quantum Materials Database
Functional: PBE
Structure: relaxed

Space group: Fd-3m
Total DFT energy (no corrections): -14.9 eV per cell

a = 6.8639 Å, b = 6.8639 Å, c = 6.8639 Å
α = 60.00°, β = 60.00°, γ = 60.00°
Fractional coordinates of all 6 atoms:
1 I 0.6250 0.1250 0.6250
2 I 0.6250 0.6250 0.1250
3 I 0.6250 0.6250 0.6250
4 I 0.1250 0.6250 0.6250
5 Nd 0.2500 0.2500 0.2500
6 Nd 0.0000 0.0000 0.0000

=====

10.
Compound: HoTmSi2Ni2C
Source: the Open Quantum Materials Database
Functional: PBE
Structure: relaxed

Space group: Cm
Total DFT energy (no corrections): -44.6 eV per cell

a = 5.6078 Å, b = 5.6078 Å, c = 6.7321 Å
α = 125.89°, β = 125.89°, γ = 40.15°
Fractional coordinates of all 7 atoms:
1 Si 0.1488 0.1488 0.6038
2 Si 0.8506 0.8506 0.3972
3 Ho 0.4358 0.4358 0.1645
4 Ni 0.2055 0.2055 0.3106
5 Ni 0.7946 0.7946 0.6908
6 C 0.0015 0.0015 0.9985
7 Tm 0.5633 0.5633 0.8346

=====

11.
Compound: Dy3Y2ErCoTe2
Source: the Open Quantum Materials Database
Functional: PBE
Structure: relaxed

Space group: Amm2
Total DFT energy (no corrections): -50.7 eV per cell

a = 3.9213 Å, b = 8.4239 Å, c = 8.4239 Å
α = 121.14°, β = 90.00°, γ = 90.00°
Fractional coordinates of all 9 atoms:
1 Er 0.0000 0.3888 0.3888
2 Te 0.5000 0.3331 0.6644
3 Te 0.5000 0.6644 0.3331
4 Dy 0.5000 0.2326 0.9947
5 Dy 0.5000 0.9947 0.2326
6 Dy 0.5000 0.7638 0.7638
7 Co 0.0000 0.0249 0.0249
8 Y 0.0000 0.5976 0.0000
9 Y 0.0000 0.0000 0.5976

=====

Number 1: mass density 4.40 g cm⁻³. Number 2: mass density 1.09 g cm⁻³. Number 3: mass density 5.82 g cm⁻³. Number 4: mass density 10.66 g cm⁻³. Number 5: mass density 7.59 g cm⁻³. Number 6: mass density 7.01 g cm⁻³. Number 7: mass density 5.40 g cm⁻³. Number 8: mass density 5.00 g cm⁻³. Number 9: mass density 5.78 g cm⁻³. Number 10: mass density 8.09 g cm⁻³. Number 11: mass density 8.00 g cm⁻³.